Entry 1:
# Hf6CuPd

A geometry-optimized Hf6CuPd structure (PBE, the Alexandria database).

Results
The calculation puts the density at 12.89 Mg/m³. For the density of states at the Fermi level, the calculation gives 6.22 states/eV/f.u. Its space group is I4/mmm (139). The formation enthalpy at 0 K comes out at -22.12 kJ/mol of atoms.

Geometry as CIF:
```
data_Hf6CuPd
_chemical_formula_sum 'Hf6 Cu1 Pd1'
_space_group_name_H-M_alt 'P 1'
_space_group_IT_number 1
_cell_length_a 8.583
_cell_length_b 8.583
_cell_length_c 8.583
_cell_angle_alpha 149.78
_cell_angle_beta 149.78
_cell_angle_gamma 43.27
loop_
_space_group_symop_operation_xyz
'x,y,z'
loop_
_atom_site_label
_atom_site_fract_x
_atom_site_fract_y
_atom_site_fract_z
Hf1 0.113 0.613 0.500
Hf2 0.249 0.249 0.000
Hf3 0.387 0.887 0.500
Hf4 0.613 0.113 0.500
Hf5 0.751 0.751 0.000
Hf6 0.887 0.387 0.500
Cu1 0.000 0.000 0.000
Pd1 0.500 0.500 0.000
```

Entry 2:
# Er6P2SeS3

A geometry-optimized Er6P2SeS3 structure (PBE, the Alexandria database).

Results
The calculation puts the density at 7.99 Mg/m³. For the density of states at the Fermi level, the calculation gives 3.50 states/eV/f.u. Its space group is C2/m (12). The uncorrected formation energy comes out at -1.86 eV/atom.

Geometry as CIF:
```
data_Er6P2SeS3
_chemical_formula_sum 'Er6 P2 Se1 S3'
_space_group_name_H-M_alt 'P 1'
_space_group_IT_number 1
_cell_length_a 8.786
_cell_length_b 8.786
_cell_length_c 7.867
_cell_angle_alpha 102.55
_cell_angle_beta 102.55
_cell_angle_gamma 25.83
loop_
_space_group_symop_operation_xyz
'x,y,z'
loop_
_atom_site_label
_atom_site_fract_x
_atom_site_fract_y
_atom_site_fract_z
Er1 0.004 0.004 0.266
Er2 0.328 0.328 0.904
Er3 0.331 0.331 0.421
Er4 0.669 0.669 0.579
Er5 0.672 0.672 0.096
Er6 0.996 0.996 0.734
P1 0.167 0.167 0.333
P2 0.833 0.833 0.667
Se1 0.500 0.500 0.000
S1 0.163 0.163 0.835
S2 0.500 0.500 0.500
S3 0.837 0.837 0.165
```

Entry 3:
# Sm6CdRu

A geometry-optimized Sm6CdRu structure (PBE, the Alexandria database).

Results
The calculation puts the density at 6.77 Mg/m³. For the density of states at the Fermi level, the calculation gives 11.65 states/eV/f.u. Its space group is P-1 (2). The formation enthalpy at 0 K comes out at 4.04 kJ/mol of atoms.

Geometry as CIF:
```
data_Sm6CdRu
_chemical_formula_sum 'Sm6 Cd1 Ru1'
_space_group_name_H-M_alt 'P 1'
_space_group_IT_number 1
_cell_length_a 6.927
_cell_length_b 6.982
_cell_length_c 7.617
_cell_angle_alpha 90.40
_cell_angle_beta 116.52
_cell_angle_gamma 119.73
loop_
_space_group_symop_operation_xyz
'x,y,z'
loop_
_atom_site_label
_atom_site_fract_x
_atom_site_fract_y
_atom_site_fract_z
Sm1 0.042 0.084 0.257
Sm2 0.298 0.715 0.256
Sm3 0.322 0.540 0.744
Sm4 0.678 0.460 0.256
Sm5 0.702 0.285 0.744
Sm6 0.958 0.916 0.743
Cd1 0.500 0.000 0.000
Ru1 0.500 0.500 0.500
```

Entry 4:
# NaLiCr2

A geometry-optimized NaLiCr2 structure (PBE, the Alexandria database).

Results
The relative energy among the computed polymorphs is 0 meV per atom. The calculation puts the density at 3.78 Mg/m³. For the density of states at the Fermi level, the calculation gives 5.05 states/eV/f.u. Its space group is I-42d (122). The formation enthalpy at 0 K comes out at 94.33 kJ/mol of atoms.

Geometry as CIF:
```
data_NaLiCr2
_chemical_formula_sum 'Na2 Li2 Cr4'
_space_group_name_H-M_alt 'P 1'
_space_group_IT_number 1
_cell_length_a 10.771
_cell_length_b 10.771
_cell_length_c 10.771
_cell_angle_alpha 162.13
_cell_angle_beta 162.13
_cell_angle_gamma 25.37
loop_
_space_group_symop_operation_xyz
'x,y,z'
loop_
_atom_site_label
_atom_site_fract_x
_atom_site_fract_y
_atom_site_fract_z
Na1 0.000 0.000 0.000
Na2 0.750 0.250 0.500
Li1 0.250 0.750 0.500
Li2 0.500 0.500 0.000
Cr1 0.138 0.125 0.513
Cr2 0.375 0.862 0.987
Cr3 0.612 0.625 0.487
Cr4 0.875 0.388 0.013
```

Entry 5:
# CrPtI3

A geometry-optimized CrPtI3 structure (PBE, the Alexandria database).

Results
The relative energy among the computed polymorphs is 0 meV per atom. The calculation puts the density at 6.25 Mg/m³. For the density of states at the Fermi level, the calculation gives 4.33 states/eV/f.u. Its space group is Pm-3m (221). The uncorrected formation energy comes out at 0.43 eV/atom.

Geometry as CIF:
```
data_CrPtI3
_chemical_formula_sum 'Cr1 Pt1 I3'
_space_group_name_H-M_alt 'P 1'
_space_group_IT_number 1
_cell_length_a 5.505
_cell_length_b 5.505
_cell_length_c 5.505
_cell_angle_alpha 90.00
_cell_angle_beta 90.00
_cell_angle_gamma 90.00
loop_
_space_group_symop_operation_xyz
'x,y,z'
loop_
_atom_site_label
_atom_site_fract_x
_atom_site_fract_y
_atom_site_fract_z
Cr1 0.000 0.000 0.000
Pt1 0.500 0.500 0.500
I1 0.000 0.500 0.500
I2 0.500 0.000 0.500
I3 0.500 0.500 0.000
```

Entry 6:
# SmY2CdO

A geometry-optimized SmY2CdO structure (PBE, the Alexandria database).

Results
The calculation puts the density at 6.68 Mg/m³. For the density of states at the Fermi level, the calculation gives 2.47 states/eV/f.u. Its space group is P4/mmm (123). The uncorrected formation energy comes out at -1.32 eV/atom.

Geometry as CIF:
```
data_SmY2CdO
_chemical_formula_sum 'Sm1 Y2 Cd1 O1'
_space_group_name_H-M_alt 'P 1'
_space_group_IT_number 1
_cell_length_a 4.812
_cell_length_b 4.812
_cell_length_c 4.905
_cell_angle_alpha 90.00
_cell_angle_beta 90.00
_cell_angle_gamma 90.00
loop_
_space_group_symop_operation_xyz
'x,y,z'
loop_
_atom_site_label
_atom_site_fract_x
_atom_site_fract_y
_atom_site_fract_z
Sm1 0.000 0.000 0.000
Y1 0.000 0.500 0.500
Y2 0.500 0.000 0.500
Cd1 0.500 0.500 0.000
O1 0.000 0.000 0.500
```

Entry 7:
# HgTeRuI2

A geometry-optimized HgTeRuI2 structure (PBE, the Alexandria database).

Results
The relative energy among the computed polymorphs is 0 meV per atom. The calculation puts the density at 7.05 Mg/m³. For the density of states at the Fermi level, the calculation gives 4.80 states/eV/f.u. Its space group is P4/mmm (123). The uncorrected formation energy comes out at 0.29 eV/atom.

Geometry as CIF:
```
data_HgTeRuI2
_chemical_formula_sum 'Hg1 Te1 Ru1 I2'
_space_group_name_H-M_alt 'P 1'
_space_group_IT_number 1
_cell_length_a 5.674
_cell_length_b 5.674
_cell_length_c 5.000
_cell_angle_alpha 90.00
_cell_angle_beta 90.00
_cell_angle_gamma 90.00
loop_
_space_group_symop_operation_xyz
'x,y,z'
loop_
_atom_site_label
_atom_site_fract_x
_atom_site_fract_y
_atom_site_fract_z
Hg1 0.000 0.000 0.000
Te1 0.500 0.500 0.000
Ru1 0.500 0.500 0.500
I1 0.000 0.500 0.500
I2 0.500 0.000 0.500
```

Entry 8:
# DyMgScAg

A geometry-optimized DyMgScAg structure (PBE, the Alexandria database).

Results
The relative energy among the computed polymorphs is 0 meV per atom. The calculation puts the density at 6.02 Mg/m³. For the density of states at the Fermi level, the calculation gives 3.91 states/eV/f.u. Its space group is P4mm (99). The formation enthalpy at 0 K comes out at -15.62 kJ/mol of atoms.

Geometry as CIF:
```
data_DyMgScAg
_chemical_formula_sum 'Dy1 Mg1 Sc1 Ag1'
_space_group_name_H-M_alt 'P 1'
_space_group_IT_number 1
_cell_length_a 3.635
_cell_length_b 3.635
_cell_length_c 7.093
_cell_angle_alpha 90.00
_cell_angle_beta 90.00
_cell_angle_gamma 90.00
loop_
_space_group_symop_operation_xyz
'x,y,z'
loop_
_atom_site_label
_atom_site_fract_x
_atom_site_fract_y
_atom_site_fract_z
Dy1 0.000 0.000 0.000
Mg1 0.500 0.500 0.281
Sc1 0.000 0.000 0.519
Ag1 0.500 0.500 0.740
```

Entry 9:
# Ti3SbCl

A geometry-optimized Ti3SbCl structure (PBE, the Alexandria database).

Results
The relative energy among the computed polymorphs is 0 meV per atom. The calculation puts the density at 5.46 Mg/m³. For the density of states at the Fermi level, the calculation gives 4.45 states/eV/f.u. Its space group is Pm-3m (221). The uncorrected formation energy comes out at -0.11 eV/atom.

Geometry as CIF:
```
data_Ti3SbCl
_chemical_formula_sum 'Ti3 Sb1 Cl1'
_space_group_name_H-M_alt 'P 1'
_space_group_IT_number 1
_cell_length_a 4.505
_cell_length_b 4.505
_cell_length_c 4.505
_cell_angle_alpha 90.00
_cell_angle_beta 90.00
_cell_angle_gamma 90.00
loop_
_space_group_symop_operation_xyz
'x,y,z'
loop_
_atom_site_label
_atom_site_fract_x
_atom_site_fract_y
_atom_site_fract_z
Ti1 0.000 0.000 0.500
Ti2 0.000 0.500 0.000
Ti3 0.500 0.000 0.000
Sb1 0.500 0.500 0.500
Cl1 0.000 0.000 0.000
```

Entry 10:
# Zr2PtN

A geometry-optimized Zr2PtN structure (PBE, the Alexandria database).

Results
The calculation puts the density at 10.10 Mg/m³. For the density of states at the Fermi level, the calculation gives 3.45 states/eV/f.u. Its space group is R-3m (166). The uncorrected formation energy comes out at -1.15 eV/atom.

Geometry as CIF:
```
data_Zr2PtN
_chemical_formula_sum 'Zr2 Pt1 N1'
_space_group_name_H-M_alt 'P 1'
_space_group_IT_number 1
_cell_length_a 7.223
_cell_length_b 7.223
_cell_length_c 7.223
_cell_angle_alpha 26.12
_cell_angle_beta 26.12
_cell_angle_gamma 26.12
loop_
_space_group_symop_operation_xyz
'x,y,z'
loop_
_atom_site_label
_atom_site_fract_x
_atom_site_fract_y
_atom_site_fract_z
Zr1 0.229 0.229 0.229
Zr2 0.771 0.771 0.771
Pt1 0.000 0.000 0.000
N1 0.500 0.500 0.500
```